Arrangement w

PrHoSb2 | PBE-GGA | optimized geometry

Cell lengths 4.4485, 4.4485, 14.6841 Å; angles 90.00, 90.00, 120.00 degrees
Positions (direct):
Pr 0.3333 0.6667 0.2500
Pr 0.6667 0.3333 0.7500
Ho 0.0000 0.0000 0.0000
Ho 0.0000 0.0000 0.5000
Sb 0.3333 0.6667 0.6172
Sb 0.3333 0.6667 0.8828
Sb 0.6667 0.3333 0.1172
Sb 0.6667 0.3333 0.3828

- symmetry = P6_3/mmc
- magnetization (Bohr magnetons per cell) = 0.0



Arrangement x

PrHoSb2 | PBE-GGA | optimized geometry

Cell lengths 7.9894, 7.9894, 7.9894 Å; angles 32.22, 32.22, 32.22 degrees
Positions (direct):
Pr 0.0000 0.0000 0.0000
Ho 0.8290 0.8290 0.8290
Sb 0.4167 0.4167 0.4167
Sb 0.5784 0.5784 0.5784

- symmetry = R3m
- magnetization (Bohr magnetons per cell) = 0.0



Arrangement y

PrHoSb2 | PBE-GGA | optimized geometry

Cell lengths 7.7209, 7.7209, 7.7209 Å; angles 33.63, 33.63, 33.63 degrees
Positions (direct):
Pr 0.0000 0.0000 0.0000
Ho 0.5000 0.5000 0.5000
Sb 0.2459 0.2459 0.2459
Sb 0.7541 0.7541 0.7541

- symmetry = R-3m
- magnetization (Bohr magnetons per cell) = 0.0



Least stable of them? arrangement x.